[1]
This record from Alexandria describes a relaxed structure of Mg2TaNi. The functional is PBE-GGA.

The space group is I4/mmm (No. 139) and the conventional cell measures 3.8278, 3.8278 and 9.1603 Å, with angles of 90.00, 90.00 and 90.00 degrees. The inequivalent atoms are Mg at (0.0000, 0.5000, 0.2500), Ta at (0.0000, 0.0000, 0.0000) and Ni at (0.0000, 0.0000, 0.5000).

As for the calculated density: 7.13 g/cm3. As for the calculated formation energy: 0.350 eV per atom. The value obtained for the uncorrected energy is -0.1784 hartree per atom. The calculation puts the density of states at the Fermi level at 2.65 states/eV/f.u. The crystal system is tetragonal.

=====

[2]
This record from Alexandria describes a relaxed structure of MgTaNi2. The functional is PBE-GGA.

The space group is P4mm (No. 99) and the conventional cell measures 3.1299, 3.1299 and 6.1288 Å, with angles of 90.00, 90.00 and 90.00 degrees. The inequivalent atoms are Mg at (0.0000, 0.0000, 0.0000), Ta at (0.5000, 0.5000, 0.6496), Ni at (0.0000, 0.0000, 0.4469) and Ni at (0.5000, 0.5000, 0.2395).

As for the calculated density: 8.92 g/cm3. As for the calculated formation energy: 0.038 eV per atom. The value obtained for the uncorrected energy is -0.2284 hartree per atom. The calculation puts the density of states at the Fermi level at 3.56 states/eV/f.u. The crystal system is tetragonal.

=====

Q: Among the records above, which one has the highest calculated density?
A: MgTaNi2

=====

Repeat the second record exactly.
This record from Alexandria describes a relaxed structure of MgTaNi2. The functional is PBE-GGA.

The space group is P4mm (No. 99) and the conventional cell measures 3.1299, 3.1299 and 6.1288 Å, with angles of 90.00, 90.00 and 90.00 degrees. The inequivalent atoms are Mg at (0.0000, 0.0000, 0.0000), Ta at (0.5000, 0.5000, 0.6496), Ni at (0.0000, 0.0000, 0.4469) and Ni at (0.5000, 0.5000, 0.2395).

As for the calculated density: 8.92 g/cm3. As for the calculated formation energy: 0.038 eV per atom. The value obtained for the uncorrected energy is -0.2284 hartree per atom. The calculation puts the density of states at the Fermi level at 3.56 states/eV/f.u. The crystal system is tetragonal.